Here is a relaxed NaY3Cr crystal from Alexandria. Energies are from PBE.

Geometry as CIF:
```
data_NaY3Cr
_chemical_formula_sum 'Na1 Y3 Cr1'
_symmetry_space_group_name_H-M 'P m -3 m'
_symmetry_Int_Tables_number 221
_symmetry_space_group_name_Hall '-P 4 2 3'
_cell_length_a 5.509
_cell_length_b 5.509
_cell_length_c 5.509
_cell_angle_alpha 90.00
_cell_angle_beta 90.00
_cell_angle_gamma 90.00
loop_
_atom_site_label
_atom_site_type_symbol
_atom_site_fract_x
_atom_site_fract_y
_atom_site_fract_z
Na1 Na 0.000 0.000 0.000
Y1 Y 0.000 0.000 0.500
Cr1 Cr 0.500 0.500 0.500
```

ΔE_f   1.219 eV per atom